Record 1
The following is a SCAN calculation of a crystal of Sr3Mo relaxed with PBEsol, from the Alexandria database.

The calculation puts the volume at 35.46 Å³/atom. The energy above the lowest structure with this stoichiometry is 0.45 eV per formula unit. As for the symmetry: R-3m. The value obtained for the density of states at the Fermi level is 3.0 states/eV/f.u. For the energy relative to the elements, the calculation gives 3.8 eV/f.u. The total energy comes out at -97.88 eV for the cell shown.

Cell lengths 3.707, 6.761, 6.761 Å; angles 116.74, 100.53, 100.53 degrees
Site moments in Bohr magnetons follow the coordinates.
Sites, in units of the cell vectors:
Sr: 0.500 0.000 0.500  -0.03
Sr: 0.500 0.500 0.000  -0.03
Sr: 0.000 0.500 0.500  -0.03
Mo: 0.000 0.000 0.000  3.33

Record 2
The following is a SCAN calculation of a crystal of LiTiMnO4 relaxed with PBEsol, from the Alexandria database.

The calculation puts the volume at 9.77 Å³/atom. The energy above the lowest structure with this stoichiometry is 0.00 eV per formula unit. As for the symmetry: Imma. The value obtained for the density of states at the Fermi level is 1.1 states/eV/f.u. The total energy comes out at -160.57 eV for the cell shown. For the formation energy from raw total energies, the calculation gives -2.67 eV per atom.

Cell lengths 5.770, 5.770, 5.770 Å; angles 89.17, 59.42, 118.48 degrees
Site moments in Bohr magnetons follow the coordinates.
Sites, in units of the cell vectors:
O: 0.479 0.739 0.782  0.03
O: 0.530 0.273 0.757  0.04
O: 0.979 0.261 0.760  0.03
O: 0.021 0.739 0.240  0.03
O: 0.030 0.287 0.243  0.04
O: 0.521 0.261 0.218  0.03
O: 0.470 0.727 0.243  0.04
O: 0.970 0.713 0.757  0.04
Ti: 0.000 0.500 0.000  -0.28
Ti: 0.500 0.000 0.000  -0.28
Li: 0.250 0.125 0.625  0.00
Li: 0.750 0.875 0.375  0.00
Mn: 0.500 0.500 0.000  2.13
Mn: 0.000 0.500 0.500  2.13

Record 3
The following is a SCAN calculation of a crystal of LaP2W relaxed with PBEsol, from the Alexandria database.

The calculation puts the volume at 19.08 Å³/atom. The energy above the lowest structure with this stoichiometry is 0.00 eV per formula unit. As for the symmetry: C2/m. The value obtained for the density of states at the Fermi level is 1.6 states/eV/f.u. For the energy relative to the elements, the calculation gives -2.8 eV/f.u. The total energy comes out at -136.43 eV for the cell shown.

Cell lengths 3.624, 3.927, 6.354 Å; angles 105.85, 90.00, 117.48 degrees
Site moments in Bohr magnetons follow the coordinates.
Sites, in units of the cell vectors:
P: 0.264 0.529 0.307  -0.01
P: 0.736 0.471 0.693  -0.01
W: 0.000 0.000 0.500  0.69
La: 0.500 0.000 0.000  0.01

Record 4
The following is a SCAN calculation of a crystal of TcAgHg2 relaxed with PBEsol, from the Alexandria database.

The calculation puts the volume at 17.98 Å³/atom. The energy above the lowest structure with this stoichiometry is 0.47 eV per formula unit. As for the symmetry: F-43m. The value obtained for the density of states at the Fermi level is 1.6 states/eV/f.u. For the energy relative to the elements, the calculation gives 2.5 eV/f.u. The total energy comes out at -200.23 eV for the cell shown.

Cell lengths 4.668, 4.668, 4.668 Å; angles 60.00, 60.00, 60.00 degrees
Site moments in Bohr magnetons follow the coordinates.
Sites, in units of the cell vectors:
Hg: 0.000 0.000 0.000  -0.02
Hg: 0.750 0.750 0.750  -0.02
Ag: 0.500 0.500 0.500  0.03
Tc: 0.250 0.250 0.250  2.84